VASP calculation (PBE-GGA) on an optimized crystal structure of HfTa2Ru2.

The structure belongs to space group P4/mbm (No. 127); the cell edges are 7.693, 7.693 and 2.953 Å and the angles 90.00°, 90.00° and 90.00°. The asymmetric unit holds Hf at (0.000, 0.000, 0.000), Ta at (0.146, 0.354, 0.000) and Ru at (0.151, 0.651, 0.500).

The formation energy from the elements is -0.6 eV/f.u. As for the density of states at the Fermi level: 1.028 states/eV/atom. The spin magnetization comes out at 0.0 Bohr magnetons per cell.

=====

VASP calculation (PBE-GGA) on an optimized crystal structure of Hf2TaRu.

The structure belongs to space group P4/mmm (No. 123); the cell edges are 4.760, 4.760 and 3.257 Å and the angles 90.00°, 90.00° and 90.00°. The asymmetric unit holds Hf at (0.000, 0.500, 0.000), Ta at (0.000, 0.000, 0.500) and Ru at (0.500, 0.500, 0.500).

The formation energy from the elements is -0.9 eV/f.u. As for the density of states at the Fermi level: 1.348 states/eV/atom. The spin magnetization comes out at 0.0 Bohr magnetons per cell.

=====

VASP calculation (PBE-GGA) on an optimized crystal structure of Hf2TaRu.

The structure belongs to space group I-42d (No. 122); the cell edges are 7.510, 7.510 and 5.671 Å and the angles 90.00°, 90.00° and 90.00°. The asymmetric unit holds Hf at (0.213, 0.250, 0.125), Ta at (0.000, 0.000, 0.500) and Ru at (0.000, 0.000, 0.000).

The formation energy from the elements is 1.1 eV/f.u. As for the density of states at the Fermi level: 0.930 states/eV/atom. The spin magnetization comes out at 0.0 Bohr magnetons per cell.

=====

VASP calculation (PBE-GGA) on an optimized crystal structure of HfTaRu2.

The structure belongs to space group Immm (No. 71); the cell edges are 2.885, 4.959 and 9.981 Å and the angles 90.00°, 90.00° and 90.00°. The asymmetric unit holds Hf at (0.000, 0.000, 0.000), Ta at (0.000, 0.000, 0.500) and Ru at (0.000, 0.000, 0.261).

The formation energy from the elements is 1.8 eV/f.u. As for the density of states at the Fermi level: 0.698 states/eV/atom. The spin magnetization comes out at 0.0 Bohr magnetons per cell.

=====

VASP calculation (PBE-GGA) on an optimized crystal structure of Hf5TaRu4.

The structure belongs to space group P4/mmm (No. 123); the cell edges are 3.240, 3.240 and 16.816 Å and the angles 90.00°, 90.00° and 90.00°. The asymmetric unit holds Hf at (0.000, 0.000, 0.000), Hf at (0.000, 0.000, 0.194), Hf at (0.000, 0.000, 0.387), Ta at (0.500, 0.500, 0.500), Ru at (0.500, 0.500, 0.096) and Ru at (0.500, 0.500, 0.289).

The formation energy from the elements is -6.3 eV/f.u. As for the density of states at the Fermi level: 0.551 states/eV/atom. The spin magnetization comes out at 0.0 Bohr magnetons per cell.

=====

VASP calculation (PBE-GGA) on an optimized crystal structure of HfTa2TlRu.

The structure belongs to space group P4/mmm (No. 123); the cell edges are 4.822, 4.822 and 4.992 Å and the angles 90.00°, 90.00° and 90.00°. The asymmetric unit holds Hf at (0.000, 0.000, 0.000), Ta at (0.000, 0.500, 0.500), Tl at (0.500, 0.500, 0.000) and Ru at (0.000, 0.000, 0.500).

The formation energy from the elements is 3.7 eV/f.u. As for the density of states at the Fermi level: 0.667 states/eV/atom. The spin magnetization comes out at 0.0 Bohr magnetons per cell.

=====

Number 1: theoretical density 14.108 g/cm³. Number 2: theoretical density 14.378 g/cm³. Number 3: theoretical density 13.269 g/cm³. Number 4: theoretical density 13.060 g/cm³. Number 5: theoretical density 13.902 g/cm³. Number 6: theoretical density 12.100 g/cm³.